Computed, not measured: a geometry-optimized NaPmReO6 structure at the PBE level of DFT. Values from VASP.

```
&SYSTEM
  ibrav = 0, nat = 9, ntyp = 4
/
ATOMIC_SPECIES
Na 22.99 Na.upf
Pm 145.00 Pm.upf
Re 186.21 Re.upf
O 16.00 O.upf
ATOMIC_POSITIONS angstrom
Na 0.000 0.000 0.000
Pm 1.252 0.383 3.356
Re 2.770 2.712 1.535
O 1.556 1.330 1.277
O 1.474 3.324 3.155
O 1.754 3.885 0.532
O 3.439 1.569 2.958
O 3.818 2.272 0.136
O 3.836 4.092 2.218
CELL_PARAMETERS angstrom
4.360 0.000 0.000
-0.360 5.278 0.000
-0.034 -2.476 4.956
```

E_form (uncorrected)	-1.933	eV/atom
magnetization	1.0	μB/cell
final energy	-7.296	eV per atom
symmetry	No. 1